Computed, not measured: a geometry-optimized TaSI3 structure at the PBE level of DFT.

Summary:
Formation energy (no corrections): 1.2976 eV per atom
Fermi-level density of states: 6.6 states/eV/f.u.
Total DFT energy (no corrections): -2.828 eV per atom
Crystal system: cubic

```
5
Lattice="5.473 0.000 0.000 0.000 5.473 0.000 0.000 0.000 5.473" Properties=species:S:1:pos:R:3 pbc="T T T"
Ta 0.000 0.000 0.000
S 2.736 2.736 2.736
I 0.000 2.736 2.736
I 2.736 0.000 2.736
I 2.736 2.736 0.000
```

---

Computed, not measured: a geometry-optimized LaIr3Pd2S8 structure at the PBE level of DFT.

Summary:
Formation energy (no corrections): -0.5286 eV per atom
Fermi-level density of states: 2.3 states/eV/f.u.
Total DFT energy (no corrections): -5.880 eV per atom
Crystal system: trigonal

```
14
Lattice="3.664 2.115 6.089 -3.664 2.115 6.089 0.000 -4.230 6.089" Properties=species:S:1:pos:R:3 pbc="T T T"
La 0.000 0.000 0.000
Ir -1.807 -1.043 8.396
Ir 1.807 -1.043 8.396
Ir 0.000 2.086 8.396
Pd 0.000 0.000 4.361
Pd 0.000 0.000 11.358
S 0.000 -1.875 9.743
S -1.624 0.938 9.743
S 0.000 0.000 7.187
S -1.516 -0.875 13.151
S 1.624 0.938 9.743
S 0.000 0.000 15.575
S 1.516 -0.875 13.151
S 0.000 1.751 13.151
```

---

Computed, not measured: a geometry-optimized Pr2Tm structure at the PBE level of DFT.

Summary:
Fermi-level density of states: 4.6 states/eV/f.u.
Total DFT energy (no corrections): -4.604 eV per atom
Crystal system: hexagonal
ΔH_f (0 K): 0.2 eV per formula unit

```
6
Lattice="5.765 0.000 0.000 -2.883 4.993 0.000 0.000 0.000 7.142" Properties=species:S:1:pos:R:3 pbc="T T T"
Pr 0.000 0.000 0.000
Pr 0.000 0.000 3.571
Pr 0.000 3.329 1.785
Pr 2.883 1.664 5.356
Tm 0.000 3.329 5.356
Tm 2.883 1.664 1.785
```